{"formula": "AcNiBO4", "functional": "GGA+U", "state": "relaxed", "lattice_angstrom": [[-4.8453, -0.8312, 1.8431], [-4.3225, -1.4002, -4.5171], [-1.0236, -5.9673, 2.0959]], "species": ["Ac", "Ac", "Ni", "Ni", "B", "B", "O", "O", "O", "O", "O", "O", "O", "O"], "frac_coords": [[0.0000, 0.0000, 0.0000], [0.0000, 0.5000, 0.5000], [0.5000, 0.0000, 0.5000], [0.0000, 0.0000, 0.5000], [0.5954, 0.6546, 0.1546], [0.4046, 0.3454, 0.8454], [0.6903, 0.7055, 0.9139], [0.3097, 0.5861, 0.7945], [0.6903, 0.4139, 0.2055], [0.3097, 0.2945, 0.0861], [0.2438, 0.7723, 0.2723], [0.7116, 0.7723, 0.2723], [0.2884, 0.2277, 0.7277], [0.7562, 0.2277, 0.7277]], "energy_ev_per_fu": -47.13}